# Ba2CaCd meta-GGA SCAN PBEsol geometry
# Total energy (eV per formula unit): -119.84
# Calculated volume (Å³/cell): 336.0
# Formation enthalpy at 0 K (eV/atom): -0.166
data_Ba2CaCd
_chemical_formula_sum 'Ba4 Ca2 Cd2'
_space_group_name_H-M_alt 'C 1 m 1'
_space_group_IT_number 8
_cell_length_a 14.4267
_cell_length_b 4.1420
_cell_length_c 6.2283
_cell_angle_alpha 90.00
_cell_angle_beta 115.48
_cell_angle_gamma 90.00
loop_
_space_group_symop_operation_xyz
'x,y,z'
'x,-y,z'
'x+1/2,y+1/2,z'
'x+1/2,-y+1/2,z'
loop_
_atom_site_label
_atom_site_type_symbol
_atom_site_fract_x
_atom_site_fract_y
_atom_site_fract_z
Ba1 Ba 0.0000 0.0000 0.0000
Ba2 Ba 0.1977 0.0000 0.6974
Ca1 Ca 0.2951 0.5000 0.2947
Cd1 Cd 0.4833 0.0000 0.4837

=====

# In2TcSb meta-GGA SCAN PBEsol geometry
# Total energy (eV per formula unit): -137.44
# Calculated volume (Å³/cell): 252.9
data_In2TcSb
_chemical_formula_sum 'In6 Tc3 Sb3'
_space_group_name_H-M_alt 'R -3 m'
_space_group_IT_number 166
_space_group_name_Hall '-R 3 2"'
_cell_length_a 3.1355
_cell_length_b 3.1355
_cell_length_c 29.7074
_cell_angle_alpha 90.00
_cell_angle_beta 90.00
_cell_angle_gamma 120.00
loop_
_atom_site_label
_atom_site_type_symbol
_atom_site_fract_x
_atom_site_fract_y
_atom_site_fract_z
In1 In 0.0000 0.0000 0.2375
Tc1 Tc 0.0000 0.0000 0.5000
Sb1 Sb 0.0000 0.0000 0.0000

=====

# MnHgIN2 meta-GGA SCAN PBEsol geometry
# Total energy (eV per formula unit): -137.29
# Calculated volume (Å³/cell): 80.0
data_MnHgIN2
_chemical_formula_sum 'Mn1 Hg1 I1 N2'
_space_group_name_H-M_alt 'P 4/m m m'
_space_group_IT_number 123
_space_group_name_Hall '-P 4 2'
_cell_length_a 3.8136
_cell_length_b 3.8136
_cell_length_c 5.4974
_cell_angle_alpha 90.00
_cell_angle_beta 90.00
_cell_angle_gamma 90.00
loop_
_atom_site_label
_atom_site_type_symbol
_atom_site_fract_x
_atom_site_fract_y
_atom_site_fract_z
Mn1 Mn 0.0000 0.0000 0.0000
Hg1 Hg 0.5000 0.5000 0.5000
I1 I 0.0000 0.0000 0.5000
N1 N 0.0000 0.5000 0.0000